# LiTb2SmCd4 | Alexandria | GGA-PBE | optimized geometry
data_LiTb2SmCd4
_cell_length_a 5.2217
_cell_length_b 5.2217
_cell_length_c 25.8522
_cell_angle_alpha 90.00
_cell_angle_beta 90.00
_cell_angle_gamma 120.00
_symmetry_space_group_name_H-M 'R -3 m'
_symmetry_Int_Tables_number 166
_symmetry_space_group_name_Hall '-R 3 2"'
loop_
_atom_site_label
_atom_site_type_symbol
_atom_site_fract_x
_atom_site_fract_y
_atom_site_fract_z
_atom_site_occupancy
Li1 Li 0.0000 0.0000 0.0000 1
Tb1 Tb 0.0000 0.0000 0.2523 1
Sm1 Sm 0.0000 0.0000 0.5000 1
Cd1 Cd 0.0000 0.0000 0.1183 1
Cd2 Cd 0.0000 0.0000 0.3731 1
# Total DFT energy (no corrections) = -65.2 eV for the cell shown
# V = 25.435 Å³ per atom
# E_form = -273 meV per atom
# M_tot = 0.00 μB/f.u.